Record 1
La2CdW: relaxed, PBEsol.

POSCAR file:
```
La2CdW
1.0
-0.294 0.387 -3.081
-1.337 -3.366 -0.296
-8.269 3.180 1.188
W Cd La
1 1 2
Direct
0.500 0.500 0.000 W
0.500 0.500 0.500 Cd
0.000 0.000 0.219 La
0.000 0.000 0.781 La
```

Properties
Its formation energy is 0.3166 eV per atom. Its density of states at the Fermi level is 3.30 states/eV/cell.

=====

Record 2
BaZnHg2: relaxed, PBEsol.

POSCAR file:
```
BaZnHg2
1.0
-0.077 5.186 -0.983
-4.031 2.121 -2.668
-3.468 3.107 2.488
Hg Zn Ba
2 1 1
Direct
0.750 0.750 0.750 Hg
0.000 0.000 0.000 Hg
0.250 0.250 0.250 Zn
0.500 0.500 0.500 Ba
```

Properties
Its formation energy is -0.2578 eV per atom. Its density of states at the Fermi level is 2.44 states/eV/cell.